No. 1
# PBE-GGA Ti12MoAs6, optimized geometry
# Formation energy from the elements, kJ/mol of atoms: -48
# ρ, Mg/m³: 5.4
data_Ti12MoAs6
_space_group_name_H-M_alt 'R -3'
_space_group_IT_number 148
_space_group_name_Hall '-R 3'
_cell_length_a 12.4687
_cell_length_b 12.4687
_cell_length_c 7.6123
_cell_angle_alpha 90.00
_cell_angle_beta 90.00
_cell_angle_gamma 120.00
loop_
_atom_site_label
_atom_site_fract_x
_atom_site_fract_y
_atom_site_fract_z
Ti1 0.0374 0.1506 0.2944
Ti2 0.0499 0.2426 0.9312
Mo1 0.0000 0.0000 0.0000
As1 0.0717 0.2602 0.5984


No. 2
# PBE-GGA Cs2CdIn, optimized geometry
# Formation energy from the elements, kJ/mol of atoms: 19
# ρ, Mg/m³: 3.8
data_Cs2CdIn
_space_group_name_H-M_alt 'I -4 2 d'
_space_group_IT_number 122
_space_group_name_Hall 'I -4 2bw'
_cell_length_a 10.601
_cell_length_b 10.601
_cell_length_c 7.650
_cell_angle_alpha 90.00
_cell_angle_beta 90.00
_cell_angle_gamma 90.00
loop_
_atom_site_label
_atom_site_fract_x
_atom_site_fract_y
_atom_site_fract_z
Cs1 0.237 0.250 0.125
Cd1 0.000 0.000 0.000
In1 0.000 0.000 0.500


No. 3
# PBE-GGA LaAuBr2, optimized geometry
# E above lowest polymorph, eV per atom: 0.062
# ρ, Mg/m³: 5.8
# Formation energy from raw total energies, meV/atom: -1240.0
data_LaAuBr2
_space_group_name_H-M_alt 'R 3 m'
_space_group_IT_number 160
_space_group_name_Hall 'R 3 -2"'
_cell_length_a 4.7075
_cell_length_b 4.7075
_cell_length_c 22.1125
_cell_angle_alpha 90.00
_cell_angle_beta 90.00
_cell_angle_gamma 120.00
loop_
_atom_site_label
_atom_site_fract_x
_atom_site_fract_y
_atom_site_fract_z
La1 0.0000 0.0000 0.0000
Au1 0.0000 0.0000 0.2811
Br1 0.0000 0.0000 0.5578
Br2 0.0000 0.0000 0.7406


No. 4
# PBE-GGA Ta2VPd8, optimized geometry
# Formation energy from the elements, kJ/mol of atoms: -32
# ρ, Mg/m³: 12.2
data_Ta2VPd8
_space_group_name_H-M_alt 'C 1 2/m 1'
_space_group_IT_number 12
_space_group_name_Hall '-C 2y'
_cell_length_a 14.105
_cell_length_b 4.002
_cell_length_c 6.418
_cell_angle_alpha 90.00
_cell_angle_beta 108.37
_cell_angle_gamma 90.00
loop_
_atom_site_label
_atom_site_fract_x
_atom_site_fract_y
_atom_site_fract_z
Ta1 0.219 0.000 0.157
V1 0.000 0.500 0.500
Pd1 0.042 0.000 0.235
Pd2 0.099 0.500 0.945
Pd3 0.144 0.000 0.695
Pd4 0.178 0.500 0.410


Repeat the third record exactly.
# PBE-GGA LaAuBr2, optimized geometry
# E above lowest polymorph, eV per atom: 0.062
# ρ, Mg/m³: 5.8
# Formation energy from raw total energies, meV/atom: -1240.0
data_LaAuBr2
_space_group_name_H-M_alt 'R 3 m'
_space_group_IT_number 160
_space_group_name_Hall 'R 3 -2"'
_cell_length_a 4.7075
_cell_length_b 4.7075
_cell_length_c 22.1125
_cell_angle_alpha 90.00
_cell_angle_beta 90.00
_cell_angle_gamma 120.00
loop_
_atom_site_label
_atom_site_fract_x
_atom_site_fract_y
_atom_site_fract_z
La1 0.0000 0.0000 0.0000
Au1 0.0000 0.0000 0.2811
Br1 0.0000 0.0000 0.5578
Br2 0.0000 0.0000 0.7406